This record from OQMD via LeMat-Bulk describes a geometry-optimized CoMoPbAu structure. The functional is PBE.

a b c (Å): 4.6076 4.6076 4.6076
angles (deg): 60.00 60.00 60.00
Last column: nearest neighbours and their distance in Å.
Fractional coordinates of all 4 atoms:
Co  0.7500  0.7500  0.7500  4 Pb 2.82, 4 Au 2.82
Mo  0.2500  0.2500  0.2500  4 Au 2.82, 4 Pb 2.82
Au  0.5000  0.5000  0.5000  4 Mo 2.82, 4 Co 2.82
Pb  0.0000  0.0000  0.0000  4 Co 2.82, 4 Mo 2.82

Properties
relative energy among the computed polymorphs = 0.0 kJ per mole of atoms
magnetization = 1.4 μB/cell

---

This record from OQMD via LeMat-Bulk describes a geometry-optimized CoSbMoAu structure. The functional is PBE.

a b c (Å): 4.5248 4.5248 4.5248
angles (deg): 60.00 60.00 60.00
Last column: nearest neighbours and their distance in Å.
Fractional coordinates of all 4 atoms:
Au  0.5000  0.5000  0.5000  4 Co 2.77, 4 Mo 2.77
Mo  0.2500  0.2500  0.2500  4 Au 2.77, 4 Sb 2.77
Co  0.7500  0.7500  0.7500  4 Au 2.77, 4 Sb 2.77
Sb  0.0000  0.0000  0.0000  4 Co 2.77, 4 Mo 2.77

Properties
relative energy among the computed polymorphs = 0.0 kJ per mole of atoms
magnetization = 0.4 μB/cell